Here is an optimized crystal structure of LiBeOs2 from Alexandria via LeMat-Bulk. Energies are from PBE.

Cell: 9.006 2.871 4.049 Å, 90.00 116.61 90.00°
Element x y z (fractional)
1 Li 0.000 0.000 0.000
2 Li 0.500 0.500 0.000
3 Be 0.274 0.000 0.774
4 Be 0.774 0.500 0.774
5 Os 0.036 0.500 0.536
6 Os 0.266 0.500 0.266
7 Os 0.536 0.000 0.536
8 Os 0.766 0.000 0.266

Calculated values
Calculated formation energy, eV per atom: 0.126
Total DFT energy (no corrections), eV/atom: -6.899
Space group: No. 8